1.
Here is a crystal of AlCd2W relaxed with PBEsol from Alexandria. Energies are from SCAN.

Values from the calculation:
Total moment: 0.000 μB per atom
E: -34.276 eV/atom
Space group: Cmm2
Calculated formation energy: 0.291 eV/atom

a b c (Å): 3.4862 4.4249 9.1588
angles (deg): 90.00 90.00 90.00
With the nearest neighbours (Å) after each atom.
Fractional positions:
Al 0.0000 0.0000 0.0000  2 W 2.63, 4 Al 2.82, 2 Cd 2.92
Al 0.5000 0.5000 0.0000  2 W 2.63, 4 Al 2.82, 2 Cd 2.92
Cd 0.0000 0.0000 0.5325  6 Cd 2.82-3.07, 2 W 2.90
Cd 0.0000 0.5000 0.2560  6 Cd 2.82-3.07, 2 Al 2.92
Cd 0.5000 0.0000 0.2560  6 Cd 2.82-3.07, 2 Al 2.92
Cd 0.5000 0.5000 0.5325  6 Cd 2.82-3.07, 2 W 2.90
W 0.0000 0.5000 0.7853  2 Al 2.63, 4 W 2.82, 2 Cd 2.90
W 0.5000 0.0000 0.7853  2 Al 2.63, 4 W 2.82, 2 Cd 2.90



2.
Here is a crystal of AlCd2W relaxed with PBEsol from Alexandria. Energies are from SCAN.

Values from the calculation:
Total moment: 0.000 μB per atom
E: -34.080 eV/atom
Space group: Imm2
Calculated formation energy: 0.488 eV/atom

a b c (Å): 2.9301 4.9589 9.7034
angles (deg): 90.00 90.00 90.00
With the nearest neighbours (Å) after each atom.
Fractional positions:
Al 0.0000 0.0000 0.0000  2 W 2.63, 6 Cd 2.87-2.88, 2 Al 2.93
Al 0.5000 0.5000 0.5000  2 W 2.63, 6 Cd 2.87-2.88, 2 Al 2.93
Cd 0.0000 0.0000 0.5172  4 Al 2.88, 2 W 2.90, 4 Cd 2.93-2.94
Cd 0.0000 0.5000 0.7548  2 Al 2.87, 4 W 2.89, 4 Cd 2.93-2.94
Cd 0.5000 0.0000 0.2548  2 Al 2.87, 4 W 2.89, 4 Cd 2.93-2.94
Cd 0.5000 0.5000 0.0172  4 Al 2.88, 2 W 2.90, 4 Cd 2.93-2.94
W 0.0000 0.5000 0.2747  2 Al 2.63, 6 Cd 2.89-2.90, 2 W 2.93
W 0.5000 0.0000 0.7747  2 Al 2.63, 6 Cd 2.89-2.90, 2 W 2.93



3.
Here is a crystal of AlCd2W relaxed with PBEsol from Alexandria. Energies are from SCAN.

Values from the calculation:
Total moment: 0.000 μB per atom
E: -34.026 eV/atom
Space group: I-4m2
Calculated formation energy: 0.542 eV/atom

a b c (Å): 3.9795 3.9795 8.7717
angles (deg): 90.00 90.00 90.00
With the nearest neighbours (Å) after each atom.
Fractional positions:
Al 0.0000 0.0000 0.0000  8 Cd 2.81-2.96, 4 W 2.96
Al 0.5000 0.5000 0.5000  8 Cd 2.81-2.96, 4 W 2.96
Cd 0.0000 0.0000 0.5000  4 Al 2.81, 4 Cd 2.96, 4 W 2.96
Cd 0.0000 0.5000 0.2500  4 W 2.81, 4 Cd 2.96, 4 Al 2.96
Cd 0.5000 0.0000 0.7500  4 W 2.81, 4 Cd 2.96, 4 Al 2.96
Cd 0.5000 0.5000 0.0000  4 Al 2.81, 4 Cd 2.96, 4 W 2.96
W 0.0000 0.5000 0.7500  8 Cd 2.81-2.96, 4 Al 2.96
W 0.5000 0.0000 0.2500  8 Cd 2.81-2.96, 4 Al 2.96



4.
Here is a crystal of AlCd2W relaxed with PBEsol from Alexandria. Energies are from SCAN.

Values from the calculation:
Total moment: 0.000 μB per atom
E: -34.256 eV/atom
Space group: P4mm
Calculated formation energy: 0.311 eV/atom

a b c (Å): 2.8258 2.8258 8.8582
angles (deg): 90.00 90.00 90.00
With the nearest neighbours (Å) after each atom.
Fractional positions:
Al 0.0000 0.0000 0.0000  4 W 2.76, 4 Al 2.83, 4 Cd 3.03
Cd 0.0000 0.0000 0.5334  8 Cd 2.83-3.16, 4 W 2.99
Cd 0.5000 0.5000 0.2575  8 Cd 2.83-3.16, 4 Al 3.03
W 0.5000 0.5000 0.7846  4 Al 2.76, 4 W 2.83, 4 Cd 2.99



5.
Here is a crystal of YAlCd2 relaxed with PBEsol from Alexandria. Energies are from SCAN.

Values from the calculation:
Total moment: 0.089 μB per atom
E: -24.216 eV/atom
Space group: C2/m
Calculated formation energy: -0.110 eV/atom

a b c (Å): 6.0605 10.5254 2.9742
angles (deg): 90.00 113.49 90.00
With the nearest neighbours (Å) after each atom.
Fractional positions:
Y 0.0000 0.0000 0.0000  2 Y 2.97, 4 Al 3.03-3.29, 4 Cd 3.10
Y 0.5000 0.5000 0.0000  2 Y 2.97, 4 Al 3.03-3.29, 4 Cd 3.10
Al 0.0000 0.5000 0.0000  2 Al 2.97, 4 Y 3.03-3.29, 4 Cd 3.10
Al 0.5000 0.0000 0.0000  2 Al 2.97, 4 Y 3.03-3.29, 4 Cd 3.10
Cd 0.2500 0.2500 0.5000  6 Cd 2.97-3.29, 2 Al 3.10, 2 Y 3.10
Cd 0.2500 0.7500 0.5000  6 Cd 2.97-3.29, 2 Al 3.10, 2 Y 3.10
Cd 0.7500 0.2500 0.5000  6 Cd 2.97-3.29, 2 Al 3.10, 2 Y 3.10
Cd 0.7500 0.7500 0.5000  6 Cd 2.97-3.29, 2 Al 3.10, 2 Y 3.10



6.
Here is a crystal of YAlCd2 relaxed with PBEsol from Alexandria. Energies are from SCAN.

Values from the calculation:
Total moment: 0.000 μB per atom
E: -24.090 eV/atom
Space group: R3m
Calculated formation energy: 0.016 eV/atom

a b c (Å): 3.2102 3.2102 29.8425
angles (deg): 90.00 90.00 120.00
With the nearest neighbours (Å) after each atom.
Fractional positions:
Y 0.0000 0.0000 0.0000  3 Al 3.13, 6 Y 3.21, 3 Cd 3.26
Y 0.3333 0.6667 0.6667  3 Al 3.13, 6 Y 3.21, 3 Cd 3.26
Y 0.6667 0.3333 0.3333  3 Al 3.13, 6 Y 3.21, 3 Cd 3.26
Al 0.0000 0.0000 0.7512  3 Cd 2.96, 3 Y 3.13, 6 Al 3.21
Al 0.3333 0.6667 0.4179  3 Cd 2.96, 3 Y 3.13, 6 Al 3.21
Al 0.6667 0.3333 0.0846  3 Cd 2.96, 3 Y 3.13, 6 Al 3.21
Cd 0.0000 0.0000 0.2435  9 Cd 3.07-3.21, 3 Y 3.26
Cd 0.0000 0.0000 0.4950  3 Al 2.96, 9 Cd 3.07-3.21
Cd 0.3333 0.6667 0.1617  3 Al 2.96, 9 Cd 3.07-3.21
Cd 0.3333 0.6667 0.9102  9 Cd 3.07-3.21, 3 Y 3.26
Cd 0.6667 0.3333 0.5769  9 Cd 3.07-3.21, 3 Y 3.26
Cd 0.6667 0.3333 0.8284  3 Al 2.96, 9 Cd 3.07-3.21



7.
Here is a crystal of YAlCd2 relaxed with PBEsol from Alexandria. Energies are from SCAN.

Values from the calculation:
Total moment: 0.000 μB per atom
E: -24.379 eV/atom
Space group: I4/mmm
Calculated formation energy: -0.273 eV/atom

a b c (Å): 4.4693 4.4693 8.6119
angles (deg): 90.00 90.00 90.00
With the nearest neighbours (Å) after each atom.
Fractional positions:
Y 0.0000 0.0000 0.0000  8 Cd 3.10, 4 Al 3.16
Y 0.5000 0.5000 0.5000  8 Cd 3.10, 4 Al 3.16
Al 0.0000 0.0000 0.5000  8 Cd 3.10, 4 Y 3.16
Al 0.5000 0.5000 0.0000  8 Cd 3.10, 4 Y 3.16
Cd 0.0000 0.5000 0.2500  4 Al 3.10, 4 Y 3.10, 4 Cd 3.16
Cd 0.0000 0.5000 0.7500  4 Al 3.10, 4 Y 3.10, 4 Cd 3.16
Cd 0.5000 0.0000 0.2500  4 Al 3.10, 4 Y 3.10, 4 Cd 3.16
Cd 0.5000 0.0000 0.7500  4 Al 3.10, 4 Y 3.10, 4 Cd 3.16



8.
Here is a crystal of YAlCd2 relaxed with PBEsol from Alexandria. Energies are from SCAN.

Values from the calculation:
Total moment: 0.000 μB per atom
E: -24.451 eV/atom
Space group: P4/mmm
Calculated formation energy: -0.345 eV/atom

a b c (Å): 4.3639 4.3639 4.5084
angles (deg): 90.00 90.00 90.00
With the nearest neighbours (Å) after each atom.
Fractional positions:
Y 0.0000 0.0000 0.0000  4 Al 3.09, 8 Cd 3.14
Al 0.5000 0.5000 0.0000  4 Y 3.09, 8 Cd 3.14
Cd 0.0000 0.5000 0.5000  4 Cd 3.09, 4 Al 3.14, 4 Y 3.14
Cd 0.5000 0.0000 0.5000  4 Cd 3.09, 4 Al 3.14, 4 Y 3.14



Question: total moment of number 1 (AlCd2W)?
Answer: 0.000 μB per atom



Question: What is the formula in the second record?
Answer: AlCd2W



Question: What is the formula in the fifth record?
Answer: YAlCd2